[1]
Na2NdWN4: relaxed, GGA-PBE.

Structure (extended XYZ):
```
8
Lattice="6.1473 0.0000 0.0000 3.0737 4.4622 -0.3775 3.0737 0.1189 4.4765" Properties=species:S:1:pos:R:3 pbc="T T T"
Nd 0.0000 0.0000 0.0000
N 8.1735 2.2937 3.6169
N 2.0262 2.2874 0.4821
N 4.1211 0.7325 2.2200
N 10.2684 3.8486 1.8791
W 3.0737 2.2905 2.0495
Na 6.1473 3.3764 0.8360
Na 6.1473 1.2047 3.2630
```

space-group type	I-42m
E_form (uncorrected)	-0.414	eV/atom


[2]
PrGeAu2: relaxed, GGA-PBE.

Structure (extended XYZ):
```
4
Lattice="-1.3769 -2.4641 -3.5682 2.1494 -3.7046 1.7289 -4.1065 -0.4157 1.8717" Properties=species:S:1:pos:R:3 pbc="T T T"
Au -1.1764 -3.2352 2.6881
Au -0.7807 -0.8851 0.9125
Ge -2.7417 -1.4399 -0.8483
Pr 0.3863 -3.0843 -0.9197
```

space-group type	P2/m
energy of formation from the pure elements	-0.401	eV per atom


[3]
AcPmTl4: relaxed, GGA-PBE.

Structure (extended XYZ):
```
6
Lattice="-5.6614 -2.2802 -1.8333 -0.3127 -4.5523 -4.4487 -1.7254 -5.9188 1.6134" Properties=species:S:1:pos:R:3 pbc="T T T"
Pm 0.0000 0.0000 0.0000
Tl -1.9782 -6.8303 -2.0007
Tl -3.9497 -5.0078 -3.7270
Tl -4.6572 -5.6922 -0.6907
Tl -4.8138 -7.9723 -2.9189
Ac -1.9249 -3.1878 -1.1672
```

space-group type	F-43m
energy of formation from the pure elements	-0.175	eV per atom


[4]
ErScPb: relaxed, GGA-PBE.

Structure (extended XYZ):
```
6
Lattice="-1.6048 -2.6497 -3.5313 -2.1271 -2.4035 2.7704 -3.5718 8.5709 1.4403" Properties=species:S:1:pos:R:3 pbc="T T T"
Pb -3.6248 -2.1081 0.5094
Pb -3.3379 3.6245 -0.7963
Er -3.2738 3.5022 2.3907
Er -2.0841 0.6639 0.8536
Sc -6.2370 3.8081 0.3815
Sc -4.2975 6.2793 0.7714
```

space-group type	P2_1/m
energy of formation from the pure elements	-0.385	eV per atom


[5]
Li2ZnAu: relaxed, GGA-PBE.

Structure (extended XYZ):
```
8
Lattice="3.7864 0.0000 0.0000 0.0000 3.7864 0.0000 1.8932 1.8932 9.4073" Properties=species:S:1:pos:R:3 pbc="T T T"
Au 0.0000 0.0000 0.0000
Au 3.7864 1.8932 4.7036
Li 4.7330 4.7640 7.0554
Li 2.8398 2.8087 7.0554
Li 2.8708 0.9466 2.3518
Li 0.9155 2.8398 2.3518
Zn 1.8932 3.7864 4.7036
Zn 1.8932 1.8932 0.0000
```

space-group type	I-42d
energy of formation from the pure elements	-0.191	eV per atom


[6]
NbFe2: relaxed, GGA-PBE.

Structure (extended XYZ):
```
24
Lattice="-4.4099 1.9335 0.2887 0.8692 -4.3259 1.9495 3.9040 6.8833 13.5336" Properties=species:S:1:pos:R:3 pbc="T T T"
Fe -0.2087 4.1518 9.3060
Fe -1.7704 -1.1962 1.1191
Fe 0.5363 0.6151 4.0727
Fe 0.1816 2.2455 7.8859
Fe 1.6194 5.0870 10.5661
Fe 0.4346 -2.1629 0.9747
Fe 0.5720 0.3392 6.4658
Fe 0.7643 5.8673 12.6790
Fe -0.6130 6.0658 10.7123
Fe -0.4010 -1.3763 3.0928
Fe -2.2050 0.9668 0.1443
Fe 0.9763 -1.5748 5.0595
Fe 2.3866 1.2787 7.7415
Fe -0.1730 3.8759 11.6991
Fe -1.2561 -0.5960 5.2056
Fe -0.2530 4.4084 6.9112
Nb -2.0422 0.9192 2.9502
Nb 3.5403 6.2421 12.2728
Nb 1.6695 2.2744 10.2706
Nb 2.3157 4.0830 8.0277
Nb 1.5883 2.8004 5.5060
Nb -1.3063 2.2166 5.5012
Nb 0.3637 0.6413 1.2608
Nb 2.4054 3.5718 12.8216
```

space-group type	P6_3/mmc
energy of formation from the pure elements	-0.142	eV per atom


[7]
BaTe2PF: relaxed, GGA-PBE.

Structure (extended XYZ):
```
5
Lattice="-2.2631 -3.9509 -2.3144 2.6156 1.1263 -4.4805 3.8254 -3.0502 1.4664" Properties=species:S:1:pos:R:3 pbc="T T T"
P 2.0889 -2.9374 -2.6642
F 0.0000 0.0000 0.0000
Te -1.1316 -1.9755 -1.1572
Te 1.9127 -1.5251 0.7332
Ba 1.3078 0.5632 -2.2403
```

space-group type	P4/mmm
E_form (uncorrected)	-0.493	eV/atom


[8]
Na2SrBi2Pd2: relaxed, GGA-PBE.

Structure (extended XYZ):
```
7
Lattice="-2.4603 -3.6291 -1.7917 1.2997 -4.4503 0.9691 -6.3037 -2.6645 7.7926" Properties=species:S:1:pos:R:3 pbc="T T T"
Bi -1.7875 -2.6864 1.6354
Bi -5.6768 -8.0576 5.3346
Sr 0.0000 0.0000 0.0000
Na -3.5767 -8.0677 2.4713
Na -3.8876 -2.6762 4.4986
Pd -5.3579 -5.3641 5.7014
Pd -2.1064 -5.3798 1.2685
```

space-group type	R-3m
energy of formation from the pure elements	-0.466	eV per atom


no.,DFT total energy (eV/atom)
1,-7.1215
2,-4.3891
3,-3.2289
4,-5.2526
5,-2.2862
6,-9.1406
7,-3.5909
8,-3.6760